Entry 1:
Entry from Alexandria via LeMat-Bulk: a relaxed IrRu3Rh6 crystal (GGA-PBE).

Cell lengths 6.875, 6.875, 6.875 Å; angles 103.70, 103.70, 103.70 degrees
Fractional coordinates of all 20 atoms:
1 Ir 0.000 0.000 0.000
2 Ir 0.500 0.500 0.500
3 Ru 0.578 0.851 0.813
4 Ru 0.851 0.813 0.578
5 Ru 0.187 0.422 0.149
6 Ru 0.813 0.578 0.851
7 Ru 0.149 0.187 0.422
8 Ru 0.422 0.149 0.187
9 Rh 0.234 0.741 0.975
10 Rh 0.259 0.025 0.766
11 Rh 0.443 0.816 0.375
12 Rh 0.025 0.766 0.259
13 Rh 0.375 0.443 0.816
14 Rh 0.184 0.625 0.557
15 Rh 0.816 0.375 0.443
16 Rh 0.625 0.557 0.184
17 Rh 0.975 0.234 0.741
18 Rh 0.557 0.184 0.625
19 Rh 0.741 0.975 0.234
20 Rh 0.766 0.259 0.025

Properties
Formation enthalpy at 0 K ... 197 meV per atom
Symmetry ... R-3
Fermi-level density of states ... 1.276 states/eV/atom
Final energy ... -7.883 eV per atom



Entry 2:
Entry from Alexandria via LeMat-Bulk: a relaxed IrRuRh6 crystal (GGA-PBE).

Cell lengths 3.840, 3.840, 7.684 Å; angles 90.00, 90.00, 90.00 degrees
Fractional coordinates of all 8 atoms:
1 Ir 0.000 0.000 0.000
2 Ru 0.000 0.000 0.500
3 Rh 0.500 0.500 0.000
4 Rh 0.500 0.500 0.500
5 Rh 0.500 0.000 0.252
6 Rh 0.500 0.000 0.748
7 Rh 0.000 0.500 0.252
8 Rh 0.000 0.500 0.748

Properties
Formation enthalpy at 0 K ... 15 meV per atom
Distance to the lowest polymorph of the same formula ... 0.00 eV per formula unit
Symmetry ... P4/mmm
Fermi-level density of states ... 1.060 states/eV/atom
Final energy ... -7.766 eV per atom



Entry 3:
Entry from Alexandria via LeMat-Bulk: a relaxed Ir3Ru2Rh3 crystal (GGA-PBE).

Cell lengths 4.929, 4.929, 4.929 Å; angles 85.66, 85.66, 94.34 degrees
Fractional coordinates of all 8 atoms:
1 Ir 0.198 0.802 0.500
2 Ir 0.500 0.198 0.198
3 Ir 0.802 0.500 0.802
4 Ru 0.286 0.286 0.714
5 Ru 0.714 0.714 0.286
6 Rh 0.275 0.725 0.000
7 Rh 0.000 0.275 0.275
8 Rh 0.725 0.000 0.725

Properties
Formation enthalpy at 0 K ... 227 meV per atom
Distance to the lowest polymorph of the same formula ... 1.78 eV per formula unit
Symmetry ... R32
Fermi-level density of states ... 1.175 states/eV/atom
Final energy ... -8.172 eV per atom